No. 1
DFT (PBE) results for an optimized crystal structure of LaPmHo2As4.

```
data_LaPmHo2As4
_chemical_formula_sum 'La1 Pm1 Ho2 As4'
_space_group_name_H-M_alt 'P 1'
_space_group_IT_number 1
_cell_length_a 4.208
_cell_length_b 7.276
_cell_length_c 7.285
_cell_angle_alpha 70.53
_cell_angle_beta 90.00
_cell_angle_gamma 90.00
loop_
_space_group_symop_operation_xyz
'x,y,z'
loop_
_atom_site_label
_atom_site_fract_x
_atom_site_fract_y
_atom_site_fract_z
_atom_site_occupancy
As1 0.000 0.240 0.251 1
As2 0.000 0.760 0.749 1
As3 0.500 0.763 0.243 1
Ho1 0.000 0.000 0.000 1
As4 0.500 0.237 0.757 1
Pm1 0.500 0.500 0.000 1
La1 0.000 0.500 0.500 1
Ho2 0.500 0.000 0.500 1
```

Values from the calculation:
DFT formation energy: -12.2 eV/f.u.



No. 2
DFT (PBE) results for an optimized crystal structure of ZnHgS2.

```
data_ZnHgS2
_chemical_formula_sum 'Zn2 Hg2 S4'
_space_group_name_H-M_alt 'P 1'
_space_group_IT_number 1
_cell_length_a 7.044
_cell_length_b 6.976
_cell_length_c 4.008
_cell_angle_alpha 106.65
_cell_angle_beta 89.98
_cell_angle_gamma 80.97
loop_
_space_group_symop_operation_xyz
'x,y,z'
loop_
_atom_site_label
_atom_site_fract_x
_atom_site_fract_y
_atom_site_fract_z
_atom_site_occupancy
S1 0.989 0.623 0.746 1
Zn1 0.687 0.516 0.692 1
S2 0.526 0.643 0.255 1
S3 0.727 0.159 0.512 1
Hg1 0.937 0.014 0.940 1
Zn2 0.449 0.002 0.433 1
Hg2 0.207 0.499 0.184 1
S4 0.279 0.106 0.986 1
```

Values from the calculation:
Formation energy without anion corrections: -0.45 eV per atom



No. 3
DFT (PBE) results for an optimized crystal structure of Ni2GeRu.

```
data_Ni2GeRu
_chemical_formula_sum 'Ni4 Ge2 Ru2'
_space_group_name_H-M_alt 'P 1'
_space_group_IT_number 1
_cell_length_a 3.545
_cell_length_b 3.545
_cell_length_c 9.093
_cell_angle_alpha 78.76
_cell_angle_beta 78.76
_cell_angle_gamma 90.00
loop_
_space_group_symop_operation_xyz
'x,y,z'
loop_
_atom_site_label
_atom_site_fract_x
_atom_site_fract_y
_atom_site_fract_z
_atom_site_occupancy
Ni1 0.619 0.125 0.250 1
Ni2 0.875 0.869 0.750 1
Ru1 0.000 0.000 0.000 1
Ni3 0.375 0.381 0.750 1
Ge1 0.250 0.750 0.500 1
Ru2 0.750 0.250 0.500 1
Ge2 0.500 0.500 0.000 1
Ni4 0.131 0.625 0.250 1
```

Values from the calculation:
DFT formation energy: 1.1 eV/f.u.



No. 4
DFT (PBE) results for an optimized crystal structure of Na2Ga3BiAu4.

```
data_Na2Ga3BiAu4
_chemical_formula_sum 'Na2 Ga3 Bi1 Au4'
_space_group_name_H-M_alt 'P 1'
_space_group_IT_number 1
_cell_length_a 4.614
_cell_length_b 4.614
_cell_length_c 10.902
_cell_angle_alpha 90.00
_cell_angle_beta 90.00
_cell_angle_gamma 90.00
loop_
_space_group_symop_operation_xyz
'x,y,z'
loop_
_atom_site_label
_atom_site_fract_x
_atom_site_fract_y
_atom_site_fract_z
_atom_site_occupancy
Ga1 0.500 0.000 0.886 1
Au1 0.500 0.000 0.657 1
Ga2 0.000 0.500 0.114 1
Au2 0.000 0.500 0.343 1
Na1 0.500 0.000 0.232 1
Na2 0.000 0.500 0.768 1
Au3 0.000 0.000 0.000 1
Au4 0.500 0.500 0.000 1
Bi1 0.500 0.500 0.500 1
Ga3 0.000 0.000 0.500 1
```

Values from the calculation:
DFT formation energy: -2.6 eV/f.u.



No. 5
DFT (PBE) results for an optimized crystal structure of TeSe.

```
data_TeSe
_chemical_formula_sum 'Te4 Se4'
_space_group_name_H-M_alt 'P 1'
_space_group_IT_number 1
_cell_length_a 8.972
_cell_length_b 8.972
_cell_length_c 4.036
_cell_angle_alpha 90.00
_cell_angle_beta 90.00
_cell_angle_gamma 90.00
loop_
_space_group_symop_operation_xyz
'x,y,z'
loop_
_atom_site_label
_atom_site_fract_x
_atom_site_fract_y
_atom_site_fract_z
_atom_site_occupancy
Te1 0.159 0.841 0.500 1
Te2 0.659 0.659 0.000 1
Te3 0.841 0.159 0.500 1
Se1 0.641 0.359 0.000 1
Se2 0.359 0.641 0.000 1
Se3 0.141 0.141 0.500 1
Te4 0.341 0.341 0.000 1
Se4 0.859 0.859 0.500 1
```

Values from the calculation:
Formation energy without anion corrections: 0.25 eV per atom



No. 6
DFT (PBE) results for an optimized crystal structure of MnCrCl2.

```
data_MnCrCl2
_chemical_formula_sum 'Mn1 Cr1 Cl2'
_space_group_name_H-M_alt 'P 1'
_space_group_IT_number 1
_cell_length_a 6.883
_cell_length_b 6.883
_cell_length_c 4.328
_cell_angle_alpha 71.45
_cell_angle_beta 71.45
_cell_angle_gamma 28.06
loop_
_space_group_symop_operation_xyz
'x,y,z'
loop_
_atom_site_label
_atom_site_fract_x
_atom_site_fract_y
_atom_site_fract_z
_atom_site_occupancy
Cl1 0.118 0.118 0.882 1
Mn1 0.250 0.250 0.250 1
Cl2 0.382 0.382 0.618 1
Cr1 0.750 0.750 0.750 1
```

Values from the calculation:
Distance to the lowest polymorph of the same formula: 169 meV/atom
Formation energy without anion corrections: -0.10 eV per atom



No. 7
DFT (PBE) results for an optimized crystal structure of SmY2Er3Tm6.

```
data_SmY2Er3Tm6
_chemical_formula_sum 'Sm1 Y2 Er3 Tm6'
_space_group_name_H-M_alt 'P 1'
_space_group_IT_number 1
_cell_length_a 6.090
_cell_length_b 6.090
_cell_length_c 11.657
_cell_angle_alpha 94.99
_cell_angle_beta 94.99
_cell_angle_gamma 119.94
loop_
_space_group_symop_operation_xyz
'x,y,z'
loop_
_atom_site_label
_atom_site_fract_x
_atom_site_fract_y
_atom_site_fract_z
_atom_site_occupancy
Sm1 0.000 0.000 0.000 1
Er1 0.167 0.833 0.500 1
Tm1 0.084 0.418 0.252 1
Y1 0.333 0.667 0.000 1
Er2 0.500 0.500 0.500 1
Y2 0.667 0.333 0.000 1
Tm2 0.751 0.751 0.252 1
Er3 0.833 0.167 0.500 1
Tm3 0.916 0.582 0.748 1
Tm4 0.249 0.249 0.748 1
Tm5 0.418 0.084 0.252 1
Tm6 0.582 0.916 0.748 1
```

Values from the calculation:
DFT formation energy: 0.3 eV/f.u.



No. 8
DFT (PBE) results for an optimized crystal structure of TlSnBi.

```
data_TlSnBi
_chemical_formula_sum 'Tl4 Sn4 Bi4'
_space_group_name_H-M_alt 'P 1'
_space_group_IT_number 1
_cell_length_a 5.721
_cell_length_b 9.424
_cell_length_c 6.957
_cell_angle_alpha 90.00
_cell_angle_beta 90.00
_cell_angle_gamma 90.00
loop_
_space_group_symop_operation_xyz
'x,y,z'
loop_
_atom_site_label
_atom_site_fract_x
_atom_site_fract_y
_atom_site_fract_z
_atom_site_occupancy
Bi1 0.750 0.584 0.748 1
Bi2 0.750 0.916 0.248 1
Bi3 0.250 0.416 0.252 1
Sn1 0.250 0.079 0.209 1
Bi4 0.250 0.084 0.752 1
Tl1 0.250 0.734 0.006 1
Tl2 0.250 0.766 0.506 1
Tl3 0.750 0.234 0.494 1
Sn2 0.750 0.579 0.291 1
Sn3 0.750 0.921 0.791 1
Sn4 0.250 0.421 0.709 1
Tl4 0.750 0.266 0.994 1
```

Values from the calculation:
Distance to the lowest polymorph of the same formula: 0 meV/atom
DFT formation energy: 0.0 eV/f.u.



What is the formula in the fifth record?
TeSe



Copy entry 3 word for word.
DFT (PBE) results for an optimized crystal structure of Ni2GeRu.

```
data_Ni2GeRu
_chemical_formula_sum 'Ni4 Ge2 Ru2'
_space_group_name_H-M_alt 'P 1'
_space_group_IT_number 1
_cell_length_a 3.545
_cell_length_b 3.545
_cell_length_c 9.093
_cell_angle_alpha 78.76
_cell_angle_beta 78.76
_cell_angle_gamma 90.00
loop_
_space_group_symop_operation_xyz
'x,y,z'
loop_
_atom_site_label
_atom_site_fract_x
_atom_site_fract_y
_atom_site_fract_z
_atom_site_occupancy
Ni1 0.619 0.125 0.250 1
Ni2 0.875 0.869 0.750 1
Ru1 0.000 0.000 0.000 1
Ni3 0.375 0.381 0.750 1
Ge1 0.250 0.750 0.500 1
Ru2 0.750 0.250 0.500 1
Ge2 0.500 0.500 0.000 1
Ni4 0.131 0.625 0.250 1
```

Values from the calculation:
DFT formation energy: 1.1 eV/f.u.